The following is a PBE with a Hubbard U calculation of a relaxed structure of VAsF2, from Alexandria via LeMat-Bulk.

The theoretical density comes out at 4.9 g/cm³. As for the density of states at the Fermi level: 1.597 states/eV/atom. The calculation puts the magnetic moment at 7.0 Bohr magnetons per cell. The calculation puts the relative energy among the computed polymorphs at 114.13 kJ/mol of atoms.

Cell lengths 6.065, 6.065, 6.065 Å; angles 90.00, 90.00, 90.00 degrees
Space group Fm-3m (No. 225)
Unique sites:
V (0.000, 0.000, 0.000)
As (0.000, 0.000, 0.500)
F (0.250, 0.250, 0.250)

---

The following is a PBE with a Hubbard U calculation of a relaxed structure of VAsF3, from Alexandria via LeMat-Bulk.

The theoretical density comes out at 3.6 g/cm³. As for the density of states at the Fermi level: 1.817 states/eV/atom. The calculation puts the magnetic moment at 4.2 Bohr magnetons per cell. The calculation puts the relative energy among the computed polymorphs at 74.94 kJ/mol of atoms.

Cell lengths 4.376, 4.376, 4.376 Å; angles 90.00, 90.00, 90.00 degrees
Space group Pm-3m (No. 221)
Unique sites:
V (0.000, 0.000, 0.000)
As (0.500, 0.500, 0.500)
F (0.000, 0.500, 0.500)